Crystalline DyPuPbAu at its relaxed geometry, computed with GGA-PBE.

Computed properties:
ρ ... 12.804 g/cm3
Space group ... F-43m, No. 216
Final energy ... -6.89 eV per atom

a = 5.298 Å, b = 5.298 Å, c = 5.298 Å
α = 60.00°, β = 60.00°, γ = 60.00°
Atoms (fractional coordinates):
Pb (0.000, 0.000, 0.000)
Au (0.500, 0.500, 0.500)
Pu (0.750, 0.750, 0.750)
Dy (0.250, 0.250, 0.250)

Crystalline DyScPbAu at its relaxed geometry, computed with GGA-PBE.

Computed properties:
ρ ... 10.630 g/cm3
Space group ... F-43m, No. 216
Final energy ... -5.04 eV per atom

a = 5.131 Å, b = 5.131 Å, c = 5.131 Å
α = 60.00°, β = 60.00°, γ = 60.00°
Atoms (fractional coordinates):
Dy (0.750, 0.750, 0.750)
Sc (0.250, 0.250, 0.250)
Pb (0.500, 0.500, 0.500)
Au (0.000, 0.000, 0.000)

Crystalline Dy6PbAu2Se3 at its relaxed geometry, computed with GGA-PBE.

Computed properties:
ρ ... 9.671 g/cm3
Space group ... C2/m, No. 12
Energy relative to the elements, uncorrected ... -1.21 eV/atom

a = 4.032 Å, b = 8.689 Å, c = 9.584 Å
α = 108.07°, β = 102.14°, γ = 90.00°
Atoms (fractional coordinates):
Au (0.171, 0.341, 0.341)
Dy (0.002, 0.268, 0.003)
Dy (0.666, 0.586, 0.331)
Dy (0.998, 0.732, 0.997)
Dy (0.334, 0.414, 0.669)
Se (0.163, 0.837, 0.326)
Pb (0.500, 0.000, 0.000)
Dy (0.326, 0.908, 0.652)
Se (0.500, 0.500, 0.000)
Se (0.837, 0.163, 0.674)
Au (0.829, 0.659, 0.659)
Dy (0.674, 0.092, 0.348)

Crystalline Dy4PbAuSe2 at its relaxed geometry, computed with GGA-PBE.

Computed properties:
ρ ... 9.580 g/cm3
Space group ... P2/m, No. 10
Energy relative to the elements, uncorrected ... -1.18 eV/atom

a = 4.036 Å, b = 7.737 Å, c = 7.061 Å
α = 72.31°, β = 90.00°, γ = 90.00°
Atoms (fractional coordinates):
Au (0.000, 0.500, 0.500)
Dy (0.500, 0.759, 0.259)
Dy (0.000, 0.231, 0.264)
Se (0.000, 0.000, 0.000)
Se (0.500, 0.000, 0.500)
Dy (0.000, 0.769, 0.736)
Pb (0.500, 0.500, 0.000)
Dy (0.500, 0.241, 0.741)

Crystalline TbDyPbAu at its relaxed geometry, computed with GGA-PBE.

Computed properties:
ρ ... 11.651 g/cm3
Space group ... F-43m, No. 216
Final energy ... -4.66 eV per atom

a = 5.269 Å, b = 5.269 Å, c = 5.269 Å
α = 60.00°, β = 60.00°, γ = 60.00°
Atoms (fractional coordinates):
Tb (0.500, 0.500, 0.500)
Pb (0.250, 0.250, 0.250)
Dy (0.000, 0.000, 0.000)
Au (0.750, 0.750, 0.750)

Crystalline Dy6Te3PbAu2 at its relaxed geometry, computed with GGA-PBE.

Computed properties:
ρ ... 9.449 g/cm3
Space group ... C2/m, No. 12
Energy relative to the elements, uncorrected ... -1.00 eV/atom

a = 4.198 Å, b = 8.920 Å, c = 9.885 Å
α = 107.44°, β = 102.26°, γ = 90.00°
Atoms (fractional coordinates):
Dy (0.330, 0.881, 0.660)
Dy (0.332, 0.415, 0.663)
Te (0.838, 0.153, 0.677)
Dy (0.010, 0.256, 0.019)
Dy (0.990, 0.744, 0.981)
Pb (0.500, 0.000, 0.000)
Te (0.500, 0.500, 0.000)
Dy (0.670, 0.119, 0.340)
Au (0.826, 0.643, 0.652)
Dy (0.668, 0.585, 0.337)
Te (0.162, 0.847, 0.323)
Au (0.174, 0.357, 0.348)

Crystalline DyTe3PbAu at its relaxed geometry, computed with GGA-PBE.

Computed properties:
ρ ... 8.467 g/cm3
Space group ... P2_1/m, No. 11
Energy relative to the elements, uncorrected ... -0.71 eV/atom

a = 4.326 Å, b = 8.581 Å, c = 10.389 Å
α = 105.06°, β = 90.00°, γ = 90.00°
Atoms (fractional coordinates):
Dy (0.750, 0.311, 0.823)
Pb (0.750, 0.777, 0.723)
Au (0.250, 0.088, 0.595)
Au (0.750, 0.912, 0.405)
Te (0.250, 0.069, 0.858)
Te (0.250, 0.578, 0.862)
Te (0.250, 0.724, 0.476)
Te (0.750, 0.931, 0.142)
Te (0.750, 0.276, 0.524)
Pb (0.250, 0.223, 0.277)
Dy (0.250, 0.689, 0.177)
Te (0.750, 0.422, 0.138)

Crystalline DyTmPbAu at its relaxed geometry, computed with GGA-PBE.

Computed properties:
ρ ... 12.085 g/cm3
Space group ... F-43m, No. 216
Final energy ... -4.60 eV per atom

a = 5.229 Å, b = 5.229 Å, c = 5.229 Å
α = 60.00°, β = 60.00°, γ = 60.00°
Atoms (fractional coordinates):
Dy (0.750, 0.750, 0.750)
Pb (0.500, 0.500, 0.500)
Au (0.000, 0.000, 0.000)
Tm (0.250, 0.250, 0.250)